Entry 1:
# PBE ScTaCo2, relaxed
data_ScTaCo2
_symmetry_space_group_name_H-M 'F -4 3 m'
_symmetry_Int_Tables_number 216
_symmetry_space_group_name_Hall 'F -4 2 3'
_cell_length_a 6.127
_cell_length_b 6.127
_cell_length_c 6.127
_cell_angle_alpha 90.00
_cell_angle_beta 90.00
_cell_angle_gamma 90.00
loop_
_atom_site_label
_atom_site_type_symbol
_atom_site_fract_x
_atom_site_fract_y
_atom_site_fract_z
_atom_site_occupancy
Sc1 Sc 0.000 0.000 0.000 1
Ta1 Ta 0.250 0.250 0.750 1
Co1 Co 0.000 0.000 0.500 1
Co2 Co 0.250 0.250 0.250 1
# * total energy: -7.95 eV/atom
# * DOS(E_F): 5.42 states/eV/f.u.
# * magnetic moment: 0.441 μB per atom
# * V: 14.38 Å³/atom
# * energy of formation from the pure elements: 14 kJ/mol of atoms

=====

Entry 2:
# PBE Cs3CuGe2Br9, relaxed
data_Cs3CuGe2Br9
_symmetry_space_group_name_H-M 'P -3 m 1'
_symmetry_Int_Tables_number 164
_symmetry_space_group_name_Hall '-P 3 2"'
_cell_length_a 7.7287
_cell_length_b 7.7287
_cell_length_c 9.4755
_cell_angle_alpha 90.00
_cell_angle_beta 90.00
_cell_angle_gamma 120.00
loop_
_atom_site_label
_atom_site_type_symbol
_atom_site_fract_x
_atom_site_fract_y
_atom_site_fract_z
_atom_site_occupancy
Cs1 Cs 0.0000 0.0000 0.0000 1
Cs2 Cs 0.3333 0.6667 0.6665 1
Cu1 Cu 0.0000 0.0000 0.5000 1
Ge1 Ge 0.3333 0.6667 0.1802 1
Br1 Br 0.0000 0.5000 0.0000 1
Br2 Br 0.1631 0.3262 0.3386 1
# * raw formation energy: -1.0272 eV per atom
# * total energy: -3.09 eV/atom
# * DOS(E_F): 3.78 states/eV/f.u.
# * magnetic moment: 0.000 μB per atom
# * V: 32.68 Å³/atom

=====

Entry 3:
# PBE MnHgI3, relaxed
data_MnHgI3
_symmetry_space_group_name_H-M 'C 1 2/m 1'
_symmetry_Int_Tables_number 12
_symmetry_space_group_name_Hall '-C 2y'
_cell_length_a 13.052
_cell_length_b 6.004
_cell_length_c 9.489
_cell_angle_alpha 90.00
_cell_angle_beta 93.41
_cell_angle_gamma 90.00
loop_
_atom_site_label
_atom_site_type_symbol
_atom_site_fract_x
_atom_site_fract_y
_atom_site_fract_z
_atom_site_occupancy
Mn1 Mn 0.143 0.000 0.441 1
Hg1 Hg 0.093 0.500 0.947 1
I1 I 0.049 0.000 0.706 1
I2 I 0.157 0.500 0.440 1
I3 I 0.209 0.000 0.142 1
# * raw formation energy: -0.3158 eV per atom
# * total energy: -3.14 eV/atom
# * offset from the most stable computed form: 30 meV/atom
# * DOS(E_F): 0.00 states/eV/f.u.
# * magnetic moment: 1.000 μB per atom
# * V: 37.11 Å³/atom

=====

Entry 4:
# PBE CePr2Tm3, relaxed
data_CePr2Tm3
_symmetry_space_group_name_H-M 'C 1 2/m 1'
_symmetry_Int_Tables_number 12
_symmetry_space_group_name_Hall '-C 2y'
_cell_length_a 18.037
_cell_length_b 3.448
_cell_length_c 14.309
_cell_angle_alpha 90.00
_cell_angle_beta 119.38
_cell_angle_gamma 90.00
loop_
_atom_site_label
_atom_site_type_symbol
_atom_site_fract_x
_atom_site_fract_y
_atom_site_fract_z
_atom_site_occupancy
Ce1 Ce 0.053 0.000 0.110 1
Pr1 Pr 0.152 0.000 0.958 1
Pr2 Pr 0.175 0.500 0.374 1
Tm1 Tm 0.042 0.500 0.703 1
Tm2 Tm 0.100 0.000 0.529 1
Tm3 Tm 0.241 0.000 0.794 1
# * total energy: -4.67 eV/atom
# * DOS(E_F): 11.49 states/eV/f.u.
# * magnetic moment: 0.108 μB per atom
# * V: 32.31 Å³/atom
# * energy of formation from the pure elements: 15 kJ/mol of atoms

=====

Entry 5:
# PBE Sr2CaZn2Pd5, relaxed
data_Sr2CaZn2Pd5
_symmetry_space_group_name_H-M 'P 4/m b m'
_symmetry_Int_Tables_number 127
_symmetry_space_group_name_Hall '-P 4 2ab'
_cell_length_a 10.445
_cell_length_b 10.445
_cell_length_c 3.825
_cell_angle_alpha 90.00
_cell_angle_beta 90.00
_cell_angle_gamma 90.00
loop_
_atom_site_label
_atom_site_type_symbol
_atom_site_fract_x
_atom_site_fract_y
_atom_site_fract_z
_atom_site_occupancy
Sr1 Sr 0.178 0.322 0.000 1
Ca1 Ca 0.000 0.000 0.000 1
Zn1 Zn 0.118 0.618 0.000 1
Pd1 Pd 0.000 0.500 0.500 1
Pd2 Pd 0.067 0.778 0.500 1
# * total energy: -3.97 eV/atom
# * DOS(E_F): 4.73 states/eV/f.u.
# * magnetic moment: 0.000 μB per atom
# * V: 20.87 Å³/atom
# * energy of formation from the pure elements: -56 kJ/mol of atoms

=====

Entry 6:
# PBE GaHgAs3, relaxed
data_GaHgAs3
_symmetry_space_group_name_H-M 'P m -3 m'
_symmetry_Int_Tables_number 221
_symmetry_space_group_name_Hall '-P 4 2 3'
_cell_length_a 4.975
_cell_length_b 4.975
_cell_length_c 4.975
_cell_angle_alpha 90.00
_cell_angle_beta 90.00
_cell_angle_gamma 90.00
loop_
_atom_site_label
_atom_site_type_symbol
_atom_site_fract_x
_atom_site_fract_y
_atom_site_fract_z
_atom_site_occupancy
Ga1 Ga 0.000 0.000 0.000 1
Hg1 Hg 0.500 0.500 0.500 1
As1 As 0.000 0.000 0.500 1
# * total energy: -2.75 eV/atom
# * offset from the most stable computed form: 0 meV/atom
# * DOS(E_F): 4.49 states/eV/f.u.
# * magnetic moment: 0.000 μB per atom
# * V: 24.62 Å³/atom
# * energy of formation from the pure elements: 68 kJ/mol of atoms

=====

Entry 7:
# PBE Dy2TmCd6, relaxed
data_Dy2TmCd6
_symmetry_space_group_name_H-M 'P 6/m m m'
_symmetry_Int_Tables_number 191
_symmetry_space_group_name_Hall '-P 6 2'
_cell_length_a 8.5987
_cell_length_b 8.5987
_cell_length_c 3.4106
_cell_angle_alpha 90.00
_cell_angle_beta 90.00
_cell_angle_gamma 120.00
loop_
_atom_site_label
_atom_site_type_symbol
_atom_site_fract_x
_atom_site_fract_y
_atom_site_fract_z
_atom_site_occupancy
Dy1 Dy 0.3333 0.6667 0.0000 1
Tm1 Tm 0.0000 0.0000 0.0000 1
Cd1 Cd 0.0000 0.3324 0.5000 1
# * total energy: -2.44 eV/atom
# * DOS(E_F): 7.04 states/eV/f.u.
# * magnetic moment: 0.000 μB per atom
# * V: 24.27 Å³/atom
# * energy of formation from the pure elements: -30 kJ/mol of atoms

=====

Entry 8:
# PBE Ta2Ti2Tc, relaxed
data_Ta2Ti2Tc
_symmetry_space_group_name_H-M 'C 1 2/m 1'
_symmetry_Int_Tables_number 12
_symmetry_space_group_name_Hall '-C 2y'
_cell_length_a 10.242
_cell_length_b 3.158
_cell_length_c 7.287
_cell_angle_alpha 90.00
_cell_angle_beta 134.51
_cell_angle_gamma 90.00
loop_
_atom_site_label
_atom_site_type_symbol
_atom_site_fract_x
_atom_site_fract_y
_atom_site_fract_z
_atom_site_occupancy
Ta1 Ta 0.090 0.000 0.380 1
Ti1 Ti 0.218 0.500 0.807 1
Tc1 Tc 0.000 0.500 0.000 1
# * total energy: -10.18 eV/atom
# * offset from the most stable computed form: 0 meV/atom
# * DOS(E_F): 6.04 states/eV/f.u.
# * magnetic moment: 0.000 μB per atom
# * V: 16.81 Å³/atom
# * energy of formation from the pure elements: -20 kJ/mol of atoms

=====

Entry 9:
# PBE CrHgIr2, relaxed
data_CrHgIr2
_symmetry_space_group_name_H-M 'I 4/m m m'
_symmetry_Int_Tables_number 139
_symmetry_space_group_name_Hall '-I 4 2'
_cell_length_a 4.004
_cell_length_b 4.004
_cell_length_c 7.761
_cell_angle_alpha 90.00
_cell_angle_beta 90.00
_cell_angle_gamma 90.00
loop_
_atom_site_label
_atom_site_type_symbol
_atom_site_fract_x
_atom_site_fract_y
_atom_site_fract_z
_atom_site_occupancy
Cr1 Cr 0.000 0.000 0.000 1
Hg1 Hg 0.000 0.000 0.500 1
Ir1 Ir 0.000 0.500 0.250 1
# * total energy: -6.61 eV/atom
# * DOS(E_F): 3.72 states/eV/f.u.
# * magnetic moment: 0.512 μB per atom
# * V: 15.56 Å³/atom
# * energy of formation from the pure elements: 29 kJ/mol of atoms

=====

Entry 10:
# PBE NdY2PuAs4, relaxed
data_NdY2PuAs4
_symmetry_space_group_name_H-M 'P 1 2/m 1'
_symmetry_Int_Tables_number 10
_symmetry_space_group_name_Hall '-P 2y'
_cell_length_a 7.203
_cell_length_b 4.172
_cell_length_c 7.214
_cell_angle_alpha 90.00
_cell_angle_beta 109.49
_cell_angle_gamma 90.00
loop_
_atom_site_label
_atom_site_type_symbol
_atom_site_fract_x
_atom_site_fract_y
_atom_site_fract_z
_atom_site_occupancy
Nd1 Nd 0.000 0.000 0.000 1
Y1 Y 0.500 0.000 0.500 1
Y2 Y 0.500 0.500 0.000 1
Pu1 Pu 0.000 0.500 0.500 1
As1 As 0.251 0.000 0.745 1
As2 As 0.255 0.500 0.257 1
# * total energy: -7.73 eV/atom
# * DOS(E_F): 13.52 states/eV/f.u.
# * magnetic moment: 0.617 μB per atom
# * V: 25.55 Å³/atom
# * energy of formation from the pure elements: -135 kJ/mol of atoms

=====

Entry 11:
# PBE BaSb3Pd, relaxed
data_BaSb3Pd
_symmetry_space_group_name_H-M 'P m -3 m'
_symmetry_Int_Tables_number 221
_symmetry_space_group_name_Hall '-P 4 2 3'
_cell_length_a 5.388
_cell_length_b 5.388
_cell_length_c 5.388
_cell_angle_alpha 90.00
_cell_angle_beta 90.00
_cell_angle_gamma 90.00
loop_
_atom_site_label
_atom_site_type_symbol
_atom_site_fract_x
_atom_site_fract_y
_atom_site_fract_z
_atom_site_occupancy
Ba1 Ba 0.000 0.000 0.000 1
Sb1 Sb 0.000 0.500 0.500 1
Pd1 Pd 0.500 0.500 0.500 1
# * raw formation energy: -0.3131 eV per atom
# * total energy: -4.21 eV/atom
# * offset from the most stable computed form: 292 meV/atom
# * DOS(E_F): 4.33 states/eV/f.u.
# * magnetic moment: 0.000 μB per atom
# * V: 31.29 Å³/atom

=====

Entry 12:
# PBE Cr4Br, relaxed
data_Cr4Br
_symmetry_space_group_name_H-M 'P m -3 m'
_symmetry_Int_Tables_number 221
_symmetry_space_group_name_Hall '-P 4 2 3'
_cell_length_a 4.835
_cell_length_b 4.835
_cell_length_c 4.835
_cell_angle_alpha 90.00
_cell_angle_beta 90.00
_cell_angle_gamma 90.00
loop_
_atom_site_label
_atom_site_type_symbol
_atom_site_fract_x
_atom_site_fract_y
_atom_site_fract_z
_atom_site_occupancy
Cr1 Cr 0.000 0.000 0.000 1
Cr2 Cr 0.000 0.500 0.500 1
Br1 Br 0.500 0.500 0.500 1
# * raw formation energy: 1.6539 eV per atom
# * total energy: -6.38 eV/atom
# * offset from the most stable computed form: 1003 meV/atom
# * DOS(E_F): 6.27 states/eV/f.u.
# * magnetic moment: 3.351 μB per atom
# * V: 22.61 Å³/atom

=====

- Which of these has the highest V?
  MnHgI3